(A)
First-principles (GGA-PBE) data for crystalline Tb2Y3Er at its relaxed geometry, as listed in the Alexandria database.

POSCAR file:
```
Tb2Y3Er
1.0
6.1495 0.0872 -0.2210
-0.1875 6.6180 -2.6064
0.3496 -0.1092 9.4094
Tb Y Er
4 6 2
Direct
0.5833 0.5413 0.3328 Tb
0.0833 0.7915 0.3328 Tb
0.9167 0.2085 0.6672 Tb
0.4167 0.4587 0.6672 Tb
0.2500 0.3748 0.0000 Y
0.7500 0.6252 0.0000 Y
0.0827 0.2910 0.3323 Y
0.4173 0.9587 0.6677 Y
0.5827 0.0413 0.3323 Y
0.9173 0.7090 0.6677 Y
0.7500 0.1247 0.0000 Er
0.2500 0.8753 0.0000 Er
```

Calculated values
- Space-group type: C2/c (15)

(B)
First-principles (GGA-PBE) data for crystalline Tb2Y3Er at its relaxed geometry, as listed in the Alexandria database.

POSCAR file:
```
Tb2Y3Er
1.0
-1.8910 0.2957 -2.9323
-7.9516 -3.3589 2.6983
-6.4557 10.7161 3.1533
Tb Y Er
4 6 2
Direct
0.8190 0.4796 0.8823 Tb
0.1810 0.5204 0.1177 Tb
0.6576 0.1544 0.5304 Tb
0.3424 0.8456 0.4696 Tb
0.0381 0.1389 0.7848 Y
0.9619 0.8611 0.2152 Y
0.5991 0.8269 0.9749 Y
0.4009 0.1731 0.0251 Y
0.7395 0.8139 0.7070 Y
0.2605 0.1861 0.2930 Y
0.4374 0.4825 0.6427 Er
0.5626 0.5175 0.3573 Er
```

Calculated values
- Space-group type: C2/m (12)

Tell me which of them is the most stable. Sure, it is (A).

(A)
First-principles (GGA-PBE) data for crystalline Tb4Y3Er4 at its relaxed geometry, as listed in the Alexandria database.

POSCAR file:
```
Tb4Y3Er4
1.0
-3.2983 0.4410 -1.2126
1.1986 -2.5004 -4.1733
-4.3065 -15.7005 11.1758
Tb Y Er
4 3 4
Direct
0.5461 0.5455 0.0918 Tb
0.4539 0.4545 0.9082 Tb
0.8177 0.8179 0.6350 Tb
0.1823 0.1822 0.3650 Tb
0.6366 0.6362 0.2733 Y
0.3634 0.3638 0.7267 Y
0.0000 0.0000 0.0000 Y
0.0912 0.0907 0.1823 Er
0.2725 0.2726 0.5448 Er
0.7274 0.7275 0.4552 Er
0.9088 0.9094 0.8177 Er
```

Calculated values
- Space-group type: Immm (71)

(B)
First-principles (GGA-PBE) data for crystalline Tb4Y3Er4 at its relaxed geometry, as listed in the Alexandria database.

POSCAR file:
```
Tb4Y3Er4
1.0
3.5210 0.0000 0.0025
0.0002 5.5681 0.0050
1.7520 2.7722 17.7081
Tb Y Er
4 3 4
Direct
0.5464 0.5466 0.9082 Tb
0.4536 0.4534 0.0918 Tb
0.3189 0.8192 0.3611 Tb
0.6812 0.1808 0.6389 Tb
0.1372 0.6373 0.7261 Y
0.8628 0.3627 0.2739 Y
0.0000 0.0000 0.0000 Y
0.5906 0.0913 0.8188 Er
0.2667 0.2664 0.4671 Er
0.7333 0.7337 0.5328 Er
0.4095 0.9087 0.1812 Er
```

Calculated values
- Space-group type: P-1 (2)

Tell me which of them is the most stable. Sure, it is (A).

(A)
First-principles (GGA-PBE) data for crystalline TbY2Er2 at its relaxed geometry, as listed in the Alexandria database.

POSCAR file:
```
TbY2Er2
1.0
-4.4480 -4.1481 -0.9836
4.9246 -5.0421 -1.0065
1.2166 -1.6800 14.3686
Tb Y Er
4 8 8
Direct
0.3506 0.3752 0.3012 Tb
0.6494 0.6248 0.6988 Tb
0.8506 0.1248 0.3012 Tb
0.1494 0.8752 0.6988 Tb
0.6169 0.3751 0.1007 Y
0.1169 0.1249 0.1007 Y
0.8831 0.8751 0.8993 Y
0.3831 0.6249 0.8993 Y
0.8532 0.6254 0.3009 Y
0.3532 0.8746 0.3009 Y
0.6468 0.1254 0.6991 Y
0.1468 0.3746 0.6991 Y
0.6168 0.8749 0.1006 Er
0.1168 0.6251 0.1006 Er
0.8832 0.3749 0.8994 Er
0.3832 0.1251 0.8994 Er
0.7489 0.3750 0.4997 Er
0.2489 0.1250 0.4997 Er
0.7511 0.8750 0.5003 Er
0.2511 0.6250 0.5003 Er
```

Calculated values
- Space-group type: P2_1/c (14)

(B)
First-principles (GGA-PBE) data for crystalline TbY2Er2 at its relaxed geometry, as listed in the Alexandria database.

POSCAR file:
```
TbY2Er2
1.0
-8.0137 0.4611 4.6957
-1.4823 -9.0325 -1.6426
1.7864 -0.8630 3.1334
Tb Y Er
2 4 4
Direct
0.0000 0.0000 0.0000 Tb
0.5000 0.5000 0.0000 Tb
0.3277 0.8277 0.5000 Y
0.8277 0.6723 0.5000 Y
0.6723 0.1723 0.5000 Y
0.1723 0.3277 0.5000 Y
0.1257 0.6257 0.0000 Er
0.6257 0.8743 0.0000 Er
0.8743 0.3743 0.0000 Er
0.3743 0.1257 0.0000 Er
```

Calculated values
- Space-group type: P4/mbm (127)

Tell me which of them is the most stable. Sure, it is (A).

(A)
First-principles (GGA-PBE) data for crystalline TbY5Er2 at its relaxed geometry, as listed in the Alexandria database.

POSCAR file:
```
TbY5Er2
1.0
-2.4070 -0.3615 8.9879
9.0642 1.5694 -2.1282
-3.3833 6.2990 8.7166
Tb Y Er
2 10 4
Direct
0.7790 0.5430 0.7567 Tb
0.2210 0.4570 0.2433 Tb
0.9407 0.9324 0.8905 Y
0.9548 0.8750 0.5869 Y
0.4281 0.8059 0.4024 Y
0.3584 0.8079 0.0819 Y
0.5673 0.1801 0.2860 Y
0.4327 0.8199 0.7140 Y
0.5719 0.1941 0.5976 Y
0.6416 0.1921 0.9181 Y
0.0593 0.0676 0.1095 Y
0.0452 0.1250 0.4131 Y
0.7661 0.5570 0.4172 Er
0.7954 0.5695 0.0791 Er
0.2339 0.4430 0.5828 Er
0.2046 0.4305 0.9209 Er
```

Calculated values
- Space-group type: P-1 (2)

(B)
First-principles (GGA-PBE) data for crystalline TbY5Er2 at its relaxed geometry, as listed in the Alexandria database.

POSCAR file:
```
TbY5Er2
1.0
5.0152 0.0000 0.0000
0.0000 7.1106 0.0000
0.0000 0.0000 14.2219
Tb Y Er
2 10 4
Direct
0.0000 0.0000 0.5000 Tb
0.0000 0.5000 0.0000 Tb
0.0000 0.0000 0.0000 Y
0.0000 0.5000 0.5000 Y
0.0000 0.4998 0.7503 Y
0.0000 0.5002 0.2497 Y
0.0000 0.0002 0.2503 Y
0.0000 0.9998 0.7497 Y
0.5000 0.2503 0.8751 Y
0.5000 0.7497 0.1249 Y
0.5000 0.2497 0.3751 Y
0.5000 0.7503 0.6249 Y
0.5000 0.2494 0.6247 Er
0.5000 0.7506 0.3753 Er
0.5000 0.2506 0.1247 Er
0.5000 0.7494 0.8753 Er
```

Calculated values
- Space-group type: Pbam (55)

Tell me which of them is the most stable. Sure, it is (B).

(A)
First-principles (GGA-PBE) data for crystalline TbY4Er at its relaxed geometry, as listed in the Alexandria database.

POSCAR file:
```
TbY4Er
1.0
-0.2497 1.2186 3.2324
5.3378 -2.0080 1.1692
3.8757 8.5914 -2.9397
Tb Y Er
1 4 1
Direct
0.9973 0.0013 0.5019 Tb
0.9973 0.5013 0.6901 Y
0.9973 0.5013 0.3136 Y
0.4973 0.0013 0.1886 Y
0.4973 0.0013 0.8151 Y
0.4973 0.5013 0.0019 Er
```

Calculated values
- Space-group type: Pmmm (47)

(B)
First-principles (GGA-PBE) data for crystalline TbY4Er at its relaxed geometry, as listed in the Alexandria database.

POSCAR file:
```
TbY4Er
1.0
6.0705 0.4829 -1.1291
2.5092 5.5487 -1.1291
-0.8759 -0.6158 12.0059
Tb Y Er
2 8 2
Direct
0.5000 0.0000 0.5000 Tb
0.0000 0.5000 0.0000 Tb
0.2504 0.4157 0.7500 Y
0.1659 0.6684 0.5002 Y
0.8341 0.3316 0.4998 Y
0.4157 0.2504 0.2500 Y
0.5843 0.7496 0.7500 Y
0.3316 0.8341 0.9998 Y
0.6684 0.1659 0.0002 Y
0.7496 0.5843 0.2500 Y
0.0836 0.9164 0.2500 Er
0.9164 0.0836 0.7500 Er
```

Calculated values
- Space-group type: C2/c (15)

Tell me which of them is the most stable. Sure, it is (B).

(A)
First-principles (GGA-PBE) data for crystalline Tb2Y5Er at its relaxed geometry, as listed in the Alexandria database.

POSCAR file:
```
Tb2Y5Er
1.0
5.5350 0.0000 0.0000
-2.7675 5.9738 0.0000
0.0000 0.0000 15.8203
Tb Y Er
4 10 2
Direct
0.7803 0.5607 0.3691 Tb
0.7803 0.5607 0.1309 Tb
0.2197 0.4393 0.6309 Tb
0.2197 0.4393 0.8691 Tb
0.9211 0.8422 0.9060 Y
0.9211 0.8422 0.5940 Y
0.3810 0.7619 0.4512 Y
0.3810 0.7619 0.0488 Y
0.5424 0.0848 0.2500 Y
0.4576 0.9152 0.7500 Y
0.6190 0.2381 0.5488 Y
0.6190 0.2381 0.9512 Y
0.0789 0.1578 0.0940 Y
0.0789 0.1578 0.4060 Y
0.7316 0.4632 0.7500 Er
0.2684 0.5368 0.2500 Er
```

Calculated values
- Space-group type: Cmcm (63)

(B)
First-principles (GGA-PBE) data for crystalline Tb2Y5Er at its relaxed geometry, as listed in the Alexandria database.

POSCAR file:
```
Tb2Y5Er
1.0
8.0218 3.7032 0.0533
3.7253 7.6582 0.0483
0.0526 0.0420 10.9963
Tb Y Er
4 10 2
Direct
0.8868 0.5763 0.3794 Tb
0.8505 0.6031 0.1069 Tb
0.1132 0.4237 0.6206 Tb
0.1495 0.3969 0.8931 Tb
0.6998 0.0224 0.9113 Y
0.6669 0.0445 0.5720 Y
0.2054 0.6719 0.4173 Y
0.1951 0.6776 0.0848 Y
0.7578 0.3107 0.2521 Y
0.2422 0.6893 0.7479 Y
0.7946 0.3281 0.5827 Y
0.8049 0.3224 0.9152 Y
0.3002 0.9776 0.0887 Y
0.3331 0.9555 0.4280 Y
0.5172 0.8403 0.7581 Er
0.4828 0.1597 0.2419 Er
```

Calculated values
- Space-group type: P-1 (2)

Tell me which of them is the most stable. Sure, it is (A).

(A)
First-principles (GGA-PBE) data for crystalline TbY6Er8 at its relaxed geometry, as listed in the Alexandria database.

POSCAR file:
```
TbY6Er8
1.0
9.0042 0.0000 0.0000
4.5021 7.7979 0.0000
4.5021 2.5993 6.8231
Tb Y Er
1 6 8
Direct
0.0000 0.0000 0.0000 Tb
0.4598 0.8899 0.8769 Y
0.1101 0.2265 0.1231 Y
0.2265 0.5402 0.1231 Y
0.7735 0.4598 0.8769 Y
0.8899 0.7735 0.8769 Y
0.5402 0.1101 0.1231 Y
0.7205 0.1100 0.4258 Er
0.8900 0.2564 0.5742 Er
0.2564 0.2795 0.5742 Er
0.5761 0.5761 0.2718 Er
0.4239 0.4239 0.7282 Er
0.7436 0.7205 0.4258 Er
0.1100 0.7436 0.4258 Er
0.2795 0.8900 0.5742 Er
```

Calculated values
- Space-group type: R-3 (148)

(B)
First-principles (GGA-PBE) data for crystalline TbY6Er8 at its relaxed geometry, as listed in the Alexandria database.

POSCAR file:
```
TbY6Er8
1.0
-1.0157 -6.2072 -1.3951
7.5097 -2.3800 5.1216
-8.4745 0.4809 4.0301
Tb Y Er
1 6 8
Direct
0.5000 0.0000 0.0000 Tb
0.5904 0.6829 0.1011 Y
0.5904 0.8989 0.5818 Y
0.5904 0.4182 0.3171 Y
0.4096 0.3171 0.8989 Y
0.4096 0.1011 0.4182 Y
0.4096 0.5818 0.6829 Y
0.9054 0.9792 0.3128 Er
0.9054 0.6872 0.6664 Er
0.9054 0.3336 0.0208 Er
0.0946 0.0208 0.6872 Er
0.0946 0.3128 0.3336 Er
0.0946 0.6664 0.9792 Er
0.8484 0.3333 0.6667 Er
0.1516 0.6667 0.3333 Er
```

Calculated values
- Space-group type: P-3 (147)

Tell me which of them is the most stable. Sure, it is (A).

(A)
First-principles (GGA-PBE) data for crystalline Tb6YEr8 at its relaxed geometry, as listed in the Alexandria database.

POSCAR file:
```
Tb6YEr8
1.0
6.4554 0.0000 0.0000
0.0000 8.1168 -4.6862
0.0000 0.0000 9.3724
Tb Y Er
6 1 8
Direct
0.5912 0.6806 0.0952 Tb
0.5912 0.9048 0.5854 Tb
0.5912 0.4146 0.3194 Tb
0.4088 0.3194 0.9048 Tb
0.4088 0.0952 0.4146 Tb
0.4088 0.5854 0.6806 Tb
0.5000 0.0000 0.0000 Y
0.9024 0.9771 0.3116 Er
0.9024 0.6884 0.6655 Er
0.9024 0.3345 0.0229 Er
0.0976 0.0229 0.6884 Er
0.0976 0.3116 0.3345 Er
0.0976 0.6655 0.9771 Er
0.8421 0.3333 0.6667 Er
0.1579 0.6667 0.3333 Er
```

Calculated values
- Space-group type: P-3 (147)

(B)
First-principles (GGA-PBE) data for crystalline Tb6YEr8 at its relaxed geometry, as listed in the Alexandria database.

POSCAR file:
```
Tb6YEr8
1.0
8.9910 0.0000 0.0000
4.4955 7.7864 0.0000
4.4955 2.5955 6.8385
Tb Y Er
6 1 8
Direct
0.4605 0.8895 0.8745 Tb
0.1105 0.2244 0.1255 Tb
0.2244 0.5395 0.1255 Tb
0.7756 0.4605 0.8745 Tb
0.8895 0.7756 0.8745 Tb
0.5395 0.1105 0.1255 Tb
0.0000 0.0000 0.0000 Y
0.7214 0.1100 0.4260 Er
0.8900 0.2574 0.5740 Er
0.2574 0.2786 0.5740 Er
0.5765 0.5765 0.2705 Er
0.4235 0.4235 0.7295 Er
0.7426 0.7214 0.4260 Er
0.1100 0.7426 0.4260 Er
0.2786 0.8900 0.5740 Er
```

Calculated values
- Space-group type: R-3 (148)

Tell me which of them is the most stable. Sure, it is (B).

(A)
First-principles (GGA-PBE) data for crystalline Tb6YEr at its relaxed geometry, as listed in the Alexandria database.

POSCAR file:
```
Tb6YEr
1.0
5.0295 0.0000 0.0000
0.0000 5.0295 0.0000
0.0000 0.0000 10.0583
Tb Y Er
6 1 1
Direct
0.5000 0.5000 0.0000 Tb
0.5000 0.5000 0.5000 Tb
0.5000 0.0000 0.2488 Tb
0.5000 0.0000 0.7512 Tb
0.0000 0.5000 0.2488 Tb
0.0000 0.5000 0.7512 Tb
0.0000 0.0000 0.5000 Y
0.0000 0.0000 0.0000 Er
```

Calculated values
- Space-group type: P4/mmm (123)

(B)
First-principles (GGA-PBE) data for crystalline Tb6YEr at its relaxed geometry, as listed in the Alexandria database.

POSCAR file:
```
Tb6YEr
1.0
6.2911 -0.1940 2.4096
-0.0655 6.4942 0.8210
1.0600 0.7554 6.8381
Tb Y Er
6 1 1
Direct
0.0949 0.7687 0.4803 Tb
0.5712 0.7279 0.5252 Tb
0.4288 0.2721 0.4748 Tb
0.9051 0.2313 0.5197 Tb
0.5494 0.7490 0.0008 Tb
0.4506 0.2510 0.9992 Tb
0.0000 0.0000 0.0000 Y
0.0000 0.5000 0.0000 Er
```

Calculated values
- Space-group type: P-1 (2)

Tell me which of them is the most stable. Sure, it is (A).